# 1
CsIrAu3O4 | PBE | optimized geometry

```
data_CsIrAu3O4
_cell_length_a 5.8348
_cell_length_b 5.8348
_cell_length_c 5.8348
_cell_angle_alpha 90.00
_cell_angle_beta 90.00
_cell_angle_gamma 90.00
_symmetry_space_group_name_H-M 'P -4 3 m'
_symmetry_Int_Tables_number 215
_symmetry_space_group_name_Hall 'P -4 2 3'
loop_
_atom_site_label
_atom_site_type_symbol
_atom_site_fract_x
_atom_site_fract_y
_atom_site_fract_z
_atom_site_occupancy
Cs1 Cs 0.0000 0.0000 0.0000 1
Ir1 Ir 0.5000 0.5000 0.5000 1
Au1 Au 0.0000 0.5000 0.5000 1
O1 O 0.3064 0.3064 0.3064 1
```

Results
The calculated density is 8.192 g cm⁻³. The total energy is -4.184 eV per atom.

***

# 2
Pm2BeIr2 | PBE | optimized geometry

```
data_Pm2BeIr2
_cell_length_a 10.1466
_cell_length_b 5.5659
_cell_length_c 7.3127
_cell_angle_alpha 90.00
_cell_angle_beta 102.13
_cell_angle_gamma 90.00
_symmetry_space_group_name_H-M 'C 1 2/c 1'
_symmetry_Int_Tables_number 15
loop_
_symmetry_equiv_pos_as_xyz
'x,y,z'
'-x,-y,-z'
'-x,y,-z+1/2'
'x,-y,z+1/2'
'x+1/2,y+1/2,z'
'-x+1/2,-y+1/2,-z'
'-x+1/2,y+1/2,-z+1/2'
'x+1/2,-y+1/2,z+1/2'
loop_
_atom_site_label
_atom_site_type_symbol
_atom_site_fract_x
_atom_site_fract_y
_atom_site_fract_z
_atom_site_occupancy
Pm1 Pm 0.1481 0.1314 0.1488 1
Be1 Be 0.0000 0.4140 0.7500 1
Ir1 Ir 0.1267 0.3724 0.5114 1
```

Results
The calculated density is 11.243 g cm⁻³. The total energy is -6.819 eV per atom.